Entry from Alexandria: a relaxed Li3TiNb crystal (PBEsol).

Summary:
Fermi-level density of states: 5.92 states/eV/f.u.
raw total energy: -17.26 eV per cell

```
data_Li3TiNb
_chemical_formula_sum 'Li3 Ti1 Nb1'
_cell_length_a 4.668
_cell_length_b 4.668
_cell_length_c 4.668
_cell_angle_alpha 90.00
_cell_angle_beta 90.00
_cell_angle_gamma 90.00
_symmetry_space_group_name_H-M 'P m -3 m'
_symmetry_Int_Tables_number 221
_symmetry_space_group_name_Hall '-P 4 2 3'
loop_
_atom_site_label
_atom_site_fract_x
_atom_site_fract_y
_atom_site_fract_z
Li1 0.000 0.000 0.500
Ti1 0.500 0.500 0.500
Nb1 0.000 0.000 0.000
```

Entry from Alexandria: a relaxed MnAg2Hg crystal (PBEsol).

Summary:
Fermi-level density of states: 1.67 states/eV/f.u.
raw total energy: -16.05 eV per cell

```
data_MnAg2Hg
_chemical_formula_sum 'Mn1 Ag2 Hg1'
_cell_length_a 2.981
_cell_length_b 2.981
_cell_length_c 7.730
_cell_angle_alpha 90.00
_cell_angle_beta 90.00
_cell_angle_gamma 90.00
_symmetry_space_group_name_H-M 'P 4/m m m'
_symmetry_Int_Tables_number 123
_symmetry_space_group_name_Hall '-P 4 2'
loop_
_atom_site_label
_atom_site_fract_x
_atom_site_fract_y
_atom_site_fract_z
Mn1 0.000 0.000 0.000
Ag1 0.500 0.500 0.228
Hg1 0.000 0.000 0.500
```

Entry from Alexandria: a relaxed BeAl2Pt2 crystal (PBEsol).

Summary:
E above lowest polymorph: 160 meV per atom
Fermi-level density of states: 1.03 states/eV/f.u.

```
data_BeAl2Pt2
_chemical_formula_sum 'Be2 Al4 Pt4'
_cell_length_a 7.262
_cell_length_b 7.262
_cell_length_c 2.764
_cell_angle_alpha 90.00
_cell_angle_beta 90.00
_cell_angle_gamma 90.00
_symmetry_space_group_name_H-M 'P 4/m b m'
_symmetry_Int_Tables_number 127
_symmetry_space_group_name_Hall '-P 4 2ab'
loop_
_atom_site_label
_atom_site_fract_x
_atom_site_fract_y
_atom_site_fract_z
Be1 0.000 0.000 0.000
Al1 0.140 0.360 0.000
Pt1 0.158 0.658 0.500
```

Entry from Alexandria: a relaxed FeBiN2 crystal (PBEsol).

Summary:
Fermi-level density of states: 3.39 states/eV/f.u.
formation energy without anion corrections: 0.5033 eV per atom

```
data_FeBiN2
_chemical_formula_sum 'Fe3 Bi3 N6'
_cell_length_a 3.0570
_cell_length_b 3.0570
_cell_length_c 19.4118
_cell_angle_alpha 90.00
_cell_angle_beta 90.00
_cell_angle_gamma 120.00
_symmetry_space_group_name_H-M 'R -3 m'
_symmetry_Int_Tables_number 166
_symmetry_space_group_name_Hall '-R 3 2"'
loop_
_atom_site_label
_atom_site_fract_x
_atom_site_fract_y
_atom_site_fract_z
Fe1 0.0000 0.0000 0.0000
Bi1 0.0000 0.0000 0.5000
N1 0.0000 0.0000 0.3794
```

Entry from Alexandria: a relaxed Al2CdW crystal (PBEsol).

Summary:
Fermi-level density of states: 2.40 states/eV/f.u.
raw total energy: -22.23 eV per cell

```
data_Al2CdW
_chemical_formula_sum 'Al2 Cd1 W1'
_cell_length_a 2.920
_cell_length_b 4.020
_cell_length_c 5.569
_cell_angle_alpha 90.00
_cell_angle_beta 90.00
_cell_angle_gamma 90.00
_symmetry_space_group_name_H-M 'P m m 2'
_symmetry_Int_Tables_number 25
_symmetry_space_group_name_Hall 'P 2 -2'
loop_
_atom_site_label
_atom_site_fract_x
_atom_site_fract_y
_atom_site_fract_z
Al1 0.000 0.000 0.000
Al2 0.500 0.500 0.269
Cd1 0.000 0.000 0.507
W1 0.500 0.500 0.792
```

Entry from Alexandria: a relaxed AlCr2Os crystal (PBEsol).

Summary:
Fermi-level density of states: 2.44 states/eV/f.u.
raw total energy: -74.76 eV per cell

```
data_AlCr2Os
_chemical_formula_sum 'Al2 Cr4 Os2'
_cell_length_a 2.945
_cell_length_b 4.012
_cell_length_c 8.407
_cell_angle_alpha 90.00
_cell_angle_beta 90.00
_cell_angle_gamma 90.00
_symmetry_space_group_name_H-M 'I m m m'
_symmetry_Int_Tables_number 71
_symmetry_space_group_name_Hall '-I 2 2'
loop_
_atom_site_label
_atom_site_fract_x
_atom_site_fract_y
_atom_site_fract_z
Al1 0.000 0.000 0.000
Cr1 0.000 0.500 0.246
Os1 0.000 0.000 0.500
```

What mass density values result from the calculations? In sequence: 2.64; 11.39; 10.32; 9.29; 8.90; 10.74 g cm⁻³.
What size of the total moment values result from the calculations? In sequence: 0.826; 4.075; 0.000; 2.191; 0.000; 0.000 μB per formula unit.